<w>
A plane-wave DFT calculation with PBE was carried out for an optimized crystal structure of NbFe2TcH.

- Crystal system: tetragonal
- Magnetic moment: 2.3 μB/f.u.

a b c (Å): 3.776 3.776 3.926
angles (deg): 90.00 90.00 90.00
Last column: magnetic moment on the atom in μB.
Element x y z (fractional)
Nb  0.500  0.500  0.500  -0.29
H  0.000  0.000  0.000  -0.01
Fe  0.500  0.000  0.000  1.18
Fe  0.000  0.500  0.000  1.18
Tc  0.000  0.000  0.500  0.21

<x>
A plane-wave DFT calculation with PBE was carried out for an optimized crystal structure of NbFe2TcH.

- Crystal system: tetragonal
- Magnetic moment: 1.8 μB/f.u.

a b c (Å): 3.740 3.740 3.997
angles (deg): 90.00 90.00 90.00
Last column: magnetic moment on the atom in μB.
Element x y z (fractional)
Nb  0.000  0.000  0.500  -0.18
Tc  0.500  0.500  0.500  -0.01
Fe  0.000  0.500  0.000  1.02
Fe  0.500  0.000  0.000  1.02
H  0.000  0.000  0.000  -0.01

If we sort the structures by their calculated energies, the order from most to least stable is <w>, <x>.

<w>
A plane-wave DFT calculation with PBE was carried out for an optimized crystal structure of NbVFe2H.

- Crystal system: tetragonal
- Magnetic moment: 2.6 μB/f.u.

a b c (Å): 3.675 3.675 4.125
angles (deg): 90.00 90.00 90.00
Last column: magnetic moment on the atom in μB.
Element x y z (fractional)
V  0.500  0.500  0.500  -0.35
H  0.000  0.000  0.000  -0.01
Fe  0.000  0.500  0.000  1.59
Fe  0.500  0.000  0.000  1.59
Nb  0.000  0.000  0.500  -0.14

<x>
A plane-wave DFT calculation with PBE was carried out for an optimized crystal structure of NbVFe2H.

- Crystal system: tetragonal
- Magnetic moment: 1.4 μB/f.u.

a b c (Å): 3.770 3.770 3.813
angles (deg): 90.00 90.00 90.00
Last column: magnetic moment on the atom in μB.
Element x y z (fractional)
Fe  0.500  0.000  0.000  0.86
Fe  0.000  0.500  0.000  0.86
Nb  0.500  0.500  0.500  -0.16
H  0.000  0.000  0.000  -0.01
V  0.000  0.000  0.500  -0.15

If we sort the structures by their calculated energies, the order from most to least stable is <x>, <w>.

<w>
A plane-wave DFT calculation with PBE was carried out for an optimized crystal structure of NbFe2HW.

- Crystal system: tetragonal
- Magnetic moment: 1.6 μB/f.u.

a b c (Å): 3.807 3.807 3.960
angles (deg): 90.00 90.00 90.00
Last column: magnetic moment on the atom in μB.
Element x y z (fractional)
Fe  0.500  0.000  0.000  0.89
Fe  0.000  0.500  0.000  0.89
H  0.000  0.000  0.000  -0.01
Nb  0.000  0.000  0.500  -0.07
W  0.500  0.500  0.500  -0.10

<x>
A plane-wave DFT calculation with PBE was carried out for an optimized crystal structure of NbFe2HW.

- Crystal system: tetragonal
- Magnetic moment: 1.6 μB/f.u.

a b c (Å): 3.823 3.823 3.937
angles (deg): 90.00 90.00 90.00
Last column: magnetic moment on the atom in μB.
Element x y z (fractional)
W  0.000  0.000  0.500  -0.06
Nb  0.500  0.500  0.500  -0.14
Fe  0.000  0.500  0.000  0.91
Fe  0.500  0.000  0.000  0.91
H  0.000  0.000  0.000  -0.01

If we sort the structures by their calculated energies, the order from most to least stable is <w>, <x>.

<w>
A plane-wave DFT calculation with PBE was carried out for an optimized crystal structure of NdFeH6.

- Crystal system: trigonal
- Magnetic moment: 1.0 μB/f.u.

a b c (Å): 4.530 4.530 4.466
angles (deg): 59.53 59.53 60.00
Last column: magnetic moment on the atom in μB.
Element x y z (fractional)
H  0.101  0.101  0.217  -0.01
H  0.581  0.101  0.217  -0.01
H  0.419  0.899  0.783  -0.01
H  0.899  0.419  0.783  -0.01
H  0.101  0.581  0.217  -0.01
H  0.899  0.899  0.783  -0.01
Fe  0.000  0.000  0.000  1.06
Nd  0.500  0.500  0.500  -0.03

<x>
A plane-wave DFT calculation with PBE was carried out for an optimized crystal structure of NdFeH6.

- Crystal system: cubic
- Magnetic moment: 1.0 μB/f.u.

a b c (Å): 5.262 5.262 5.262
angles (deg): 60.00 60.00 60.00
Last column: magnetic moment on the atom in μB.
Element x y z (fractional)
Fe  0.000  0.000  0.000  1.21
H  0.792  0.208  0.792  -0.01
H  0.208  0.792  0.208  -0.01
H  0.792  0.792  0.208  -0.01
H  0.208  0.792  0.792  -0.01
H  0.792  0.208  0.208  -0.01
H  0.208  0.208  0.792  -0.01
Nd  0.500  0.500  0.500  -0.07

If we sort the structures by their calculated energies, the order from most to least stable is <w>, <x>.

<w>
A plane-wave DFT calculation with PBE was carried out for an optimized crystal structure of Fe2NiH2.

- Crystal system: tetragonal
- Magnetic moment: 5.2 μB/f.u.

a b c (Å): 5.524 5.524 2.549
angles (deg): 90.00 90.00 90.00
Last column: magnetic moment on the atom in μB.
Element x y z (fractional)
H  0.657  0.157  0.000  -0.02
H  0.157  0.343  0.000  -0.02
H  0.843  0.657  0.000  -0.02
H  0.343  0.843  0.000  -0.02
Ni  0.000  0.000  0.000  0.71
Ni  0.500  0.500  0.000  0.71
Fe  0.849  0.349  0.500  2.33
Fe  0.651  0.849  0.500  2.28
Fe  0.349  0.151  0.500  2.28
Fe  0.151  0.651  0.500  2.33

<x>
A plane-wave DFT calculation with PBE was carried out for an optimized crystal structure of Fe2NiH2.

- Crystal system: tetragonal
- Magnetic moment: 4.8 μB/f.u.

a b c (Å): 3.120 3.120 4.601
angles (deg): 70.18 70.18 90.00
Last column: magnetic moment on the atom in μB.
Element x y z (fractional)
Fe  0.341  0.341  0.318  2.20
Fe  0.659  0.659  0.682  2.20
Ni  0.000  0.000  0.000  0.52
H  0.250  0.750  0.500  -0.03
H  0.750  0.250  0.500  -0.03

If we sort the structures by their calculated energies, the order from most to least stable is <x>, <w>.

<w>
A plane-wave DFT calculation with PBE was carried out for an optimized crystal structure of Fe2NiH.

- Crystal system: orthorhombic
- Magnetic moment: 5.3 μB/f.u.

a b c (Å): 7.976 2.522 3.719
angles (deg): 90.00 90.00 90.00
Last column: magnetic moment on the atom in μB.
Element x y z (fractional)
Fe  0.175  0.500  0.845  2.47
Fe  0.825  0.500  0.845  2.47
Fe  0.325  0.000  0.345  2.47
Fe  0.675  0.000  0.345  2.47
Ni  0.500  0.500  0.804  0.48
Ni  0.000  0.000  0.304  0.48
H  0.000  0.500  0.587  -0.02
H  0.500  0.000  0.087  -0.02

<x>
A plane-wave DFT calculation with PBE was carried out for an optimized crystal structure of Fe2NiH.

- Crystal system: hexagonal
- Magnetic moment: 4.7 μB/f.u.

a b c (Å): 2.930 3.929 3.929
angles (deg): 120.00 90.00 90.00
Last column: magnetic moment on the atom in μB.
Element x y z (fractional)
Ni  0.500  0.000  0.000  0.41
H  0.000  0.000  0.000  0.00
Fe  0.000  0.333  0.667  2.17
Fe  0.000  0.667  0.333  2.17

<y>
A plane-wave DFT calculation with PBE was carried out for an optimized crystal structure of Fe2NiH.

- Crystal system: tetragonal
- Magnetic moment: 5.6 μB/f.u.

a b c (Å): 2.548 2.548 11.503
angles (deg): 90.00 90.00 90.00
Last column: magnetic moment on the atom in μB.
Element x y z (fractional)
Ni  0.500  0.500  0.500  0.72
Ni  0.000  0.000  0.000  0.72
Fe  0.500  0.500  0.847  2.51
Fe  0.500  0.500  0.153  2.51
Fe  0.000  0.000  0.347  2.51
Fe  0.000  0.000  0.653  2.51
H  0.500  0.000  0.750  -0.03
H  0.000  0.500  0.250  -0.03

If we sort the structures by their calculated energies, the order from most to least stable is <y>, <w>, <x>.

<w>
A plane-wave DFT calculation with PBE was carried out for an optimized crystal structure of Fe2NiH.

- Crystal system: tetragonal
- Magnetic moment: 5.5 μB/f.u.

a b c (Å): 2.551 2.551 11.170
angles (deg): 90.00 90.00 90.00
Last column: magnetic moment on the atom in μB.
Element x y z (fractional)
H  0.000  0.000  0.210  -0.02
H  0.500  0.500  0.710  -0.02
Ni  0.000  0.000  0.037  0.70
Ni  0.500  0.500  0.537  0.70
Fe  0.500  0.500  0.201  2.25
Fe  0.000  0.000  0.380  2.68
Fe  0.500  0.500  0.880  2.68
Fe  0.000  0.000  0.701  2.25

<x>
A plane-wave DFT calculation with PBE was carried out for an optimized crystal structure of Fe2NiH.

- Crystal system: trigonal
- Magnetic moment: 5.3 μB/f.u.

a b c (Å): 2.561 2.561 19.212
angles (deg): 90.00 90.00 120.00
Last column: magnetic moment on the atom in μB.
Element x y z (fractional)
Fe  0.000  0.000  0.940  2.58
Fe  0.333  0.667  0.162  2.35
Fe  0.667  0.333  0.829  2.35
Fe  0.000  0.000  0.495  2.35
Fe  0.333  0.667  0.607  2.58
Fe  0.667  0.333  0.274  2.58
H  0.333  0.667  0.772  -0.02
H  0.667  0.333  0.439  -0.02
H  0.000  0.000  0.105  -0.02
Ni  0.000  0.000  0.713  0.47
Ni  0.333  0.667  0.380  0.47
Ni  0.667  0.333  0.046  0.47

<y>
A plane-wave DFT calculation with PBE was carried out for an optimized crystal structure of Fe2NiH.

- Crystal system: trigonal
- Magnetic moment: 5.7 μB/f.u.

a b c (Å): 2.527 2.527 7.167
angles (deg): 79.85 79.85 60.00
Last column: magnetic moment on the atom in μB.
Element x y z (fractional)
H  0.500  0.500  0.500  -0.02
Fe  0.111  0.111  0.668  2.51
Fe  0.889  0.889  0.332  2.51
Ni  0.000  0.000  0.000  0.74

If we sort the structures by their calculated energies, the order from most to least stable is <w>, <x>, <y>.

<w>
A plane-wave DFT calculation with PBE was carried out for an optimized crystal structure of Fe2NiH.

- Crystal system: trigonal
- Magnetic moment: 5.3 μB/f.u.

a b c (Å): 2.565 2.565 18.971
angles (deg): 90.00 90.00 120.00
Last column: magnetic moment on the atom in μB.
Element x y z (fractional)
H  0.667  0.333  0.939  -0.03
H  0.000  0.000  0.605  -0.03
H  0.333  0.667  0.272  -0.03
Fe  0.000  0.000  0.998  2.36
Fe  0.333  0.667  0.664  2.36
Fe  0.000  0.000  0.211  2.36
Fe  0.667  0.333  0.331  2.36
Fe  0.667  0.333  0.544  2.36
Fe  0.333  0.667  0.877  2.36
Ni  0.667  0.333  0.771  0.72
Ni  0.000  0.000  0.437  0.72
Ni  0.333  0.667  0.104  0.72

<x>
A plane-wave DFT calculation with PBE was carried out for an optimized crystal structure of Fe2NiH.

- Crystal system: orthorhombic
- Magnetic moment: 5.3 μB/f.u.

a b c (Å): 6.931 2.482 4.330
angles (deg): 90.00 90.00 90.00
Last column: magnetic moment on the atom in μB.
Element x y z (fractional)
Fe  0.185  0.500  0.500  2.38
Fe  0.815  0.500  0.500  2.38
Fe  0.685  0.000  0.000  2.38
Fe  0.315  0.000  0.000  2.38
H  0.000  0.000  0.500  -0.03
H  0.500  0.500  0.000  -0.03
Ni  0.500  0.000  0.500  0.62
Ni  0.000  0.500  0.000  0.62

<y>
A plane-wave DFT calculation with PBE was carried out for an optimized crystal structure of Fe2NiH.

- Crystal system: trigonal
- Magnetic moment: 5.3 μB/f.u.

a b c (Å): 2.561 2.561 6.416
angles (deg): 90.00 90.00 120.00
Last column: magnetic moment on the atom in μB.
Element x y z (fractional)
Ni  0.000  0.000  0.905  0.45
Fe  0.667  0.333  0.223  2.60
Fe  0.333  0.667  0.557  2.36
H  0.667  0.333  0.735  -0.02

If we sort the structures by their calculated energies, the order from most to least stable is <w>, <y>, <x>.

<w>
A plane-wave DFT calculation with PBE was carried out for an optimized crystal structure of FeNi2H3.

- Crystal system: tetragonal
- Magnetic moment: 2.6 μB/f.u.

a b c (Å): 2.632 2.632 5.955
angles (deg): 102.75 102.75 90.09
Last column: magnetic moment on the atom in μB.
Element x y z (fractional)
Ni  0.100  0.101  0.205  0.21
Ni  0.769  0.770  0.543  0.21
H  0.605  0.606  0.215  -0.01
H  0.934  0.936  0.874  -0.02
H  0.264  0.265  0.533  -0.01
Fe  0.434  0.436  0.874  2.28

<x>
A plane-wave DFT calculation with PBE was carried out for an optimized crystal structure of FeNi2H3.

- Crystal system: orthorhombic
- Magnetic moment: 3.0 μB/f.u.

a b c (Å): 3.781 5.292 4.569
angles (deg): 106.84 114.45 90.00
Last column: magnetic moment on the atom in μB.
Element x y z (fractional)
Ni  0.334  0.417  0.668  0.35
Ni  0.334  0.917  0.668  0.35
Ni  0.666  0.083  0.332  0.35
Ni  0.666  0.583  0.332  0.35
Fe  0.000  0.750  0.000  2.38
Fe  0.000  0.250  0.000  2.38
H  0.500  0.250  0.000  -0.01
H  0.169  0.084  0.338  -0.01
H  0.831  0.416  0.662  -0.01
H  0.169  0.584  0.338  -0.01
H  0.831  0.916  0.662  -0.01
H  0.500  0.750  0.000  -0.01

If we sort the structures by their calculated energies, the order from most to least stable is <w>, <x>.

<w>
A plane-wave DFT calculation with PBE was carried out for an optimized crystal structure of Fe2Ni3H2.

- Crystal system: monoclinic
- Magnetic moment: 6.3 μB/f.u.

a b c (Å): 2.509 4.336 6.300
angles (deg): 109.89 90.00 106.82
Last column: magnetic moment on the atom in μB.
Element x y z (fractional)
Ni  0.608  0.215  0.412  0.35
Ni  0.392  0.785  0.588  0.35
Ni  0.500  0.000  0.000  0.61
Fe  0.828  0.656  0.196  2.56
Fe  0.172  0.344  0.804  2.56
H  0.778  0.556  0.677  -0.02
H  0.222  0.444  0.323  -0.02

<x>
A plane-wave DFT calculation with PBE was carried out for an optimized crystal structure of Fe2Ni3H2.

- Crystal system: monoclinic
- Magnetic moment: 6.6 μB/f.u.

a b c (Å): 2.510 4.360 6.334
angles (deg): 69.73 78.57 73.27
Last column: magnetic moment on the atom in μB.
Element x y z (fractional)
Ni  0.500  0.000  0.000  0.36
Ni  0.612  0.193  0.582  0.43
Ni  0.388  0.807  0.418  0.43
Fe  0.176  0.440  0.208  2.75
Fe  0.824  0.560  0.792  2.75
H  0.056  0.099  0.790  -0.01
H  0.944  0.901  0.210  -0.01

If we sort the structures by their calculated energies, the order from most to least stable is <x>, <w>.

<w>
A plane-wave DFT calculation with PBE was carried out for an optimized crystal structure of FeNiHPd2.

- Crystal system: tetragonal
- Magnetic moment: 4.3 μB/f.u.

a b c (Å): 3.876 3.876 3.829
angles (deg): 90.00 90.00 90.00
Last column: magnetic moment on the atom in μB.
Element x y z (fractional)
Pd  0.000  0.500  0.000  0.24
Pd  0.500  0.000  0.000  0.24
H  0.000  0.000  0.000  -0.01
Ni  0.500  0.500  0.500  0.88
Fe  0.000  0.000  0.500  3.02

<x>
A plane-wave DFT calculation with PBE was carried out for an optimized crystal structure of FeNiHPd2.

- Crystal system: tetragonal
- Magnetic moment: 4.4 μB/f.u.

a b c (Å): 3.954 3.954 3.673
angles (deg): 90.00 90.00 90.00
Last column: magnetic moment on the atom in μB.
Element x y z (fractional)
H  0.000  0.000  0.000  0.00
Pd  0.000  0.500  0.000  0.25
Pd  0.500  0.000  0.000  0.25
Fe  0.500  0.500  0.500  3.32
Ni  0.000  0.000  0.500  0.59

If we sort the structures by their calculated energies, the order from most to least stable is <x>, <w>.